Below is crystalline VSe2SBr at its relaxed geometry, with properties calculated at the PBE level.

Output
* energy above the lowest structure with this stoichiometry: 0 meV per atom
* Fermi-level density of states: 5.54 states/eV/cell
* ΔE_f (raw): 0.2880 eV/atom
* final energy: -20.45 eV for the cell shown
* density: 4.74 g cm⁻³
* symmetry: P4/mmm

a = 4.811 Å, b = 4.811 Å, c = 4.855 Å
α = 90.00°, β = 90.00°, γ = 90.00°
Each line ends with the local moment (μB).
Element x y z (fractional)
Se  0.000  0.500  0.000  -0.05
V  0.000  0.000  0.000  0.50
Br  0.000  0.000  0.500  0.02
Se  0.500  0.000  0.000  -0.05
S  0.500  0.500  0.500  0.07